--- P ---
VASP calculation (GGA-PBE) on crystalline LaCeP2 at its relaxed geometry.

abc: 4.1332 4.1333 7.2321
angles: 90.00 90.00 120.00
Last column: magnetic moment on the atom in μB.
Atoms (fractional coordinates):
La1 0.0000 0.5000 0.5000  0.06
Ce1 0.0000 0.5000 0.0000  0.61
P1 0.6667 0.8334 0.7614  -0.03
P2 0.3333 0.1666 0.2386  -0.03

D(E_F), states/eV/cell: 5.63

--- Q ---
VASP calculation (GGA-PBE) on crystalline LaCeP2 at its relaxed geometry.

abc: 4.1451 4.1451 13.8098
angles: 90.00 90.00 120.00
Last column: magnetic moment on the atom in μB.
Atoms (fractional coordinates):
La1 0.6667 0.3333 0.2500  0.03
La2 0.3333 0.6667 0.7500  0.03
Ce1 0.0000 0.0000 0.5000  0.48
Ce2 0.0000 0.0000 0.0000  0.48
P1 0.3333 0.6667 0.3827  -0.02
P2 0.6667 0.3333 0.8827  -0.02
P3 0.6667 0.3333 0.6173  -0.02
P4 0.3333 0.6667 0.1173  -0.02

D(E_F), states/eV/cell: 9.34

--- R ---
VASP calculation (GGA-PBE) on crystalline LaCeP2 at its relaxed geometry.

abc: 4.1771 4.1771 7.2505
angles: 73.26 73.26 60.00
Last column: magnetic moment on the atom in μB.
Atoms (fractional coordinates):
P1 0.2543 0.2543 0.2371  -0.02
P2 0.7457 0.7457 0.7629  -0.02
Ce1 0.0000 0.0000 0.0000  0.48
La1 0.5000 0.5000 0.5000  0.01

D(E_F), states/eV/cell: 4.99

Relative to the most stable structure, the computed energies are P 235; Q 30; R 0, all in meV per atom.

--- P ---
VASP calculation (GGA-PBE) on crystalline La2CeP3 at its relaxed geometry.

abc: 9.4061 9.4061 9.4061
angles: 154.09 154.09 36.96
Atoms (fractional coordinates):
La1 0.6666 0.6666 0.0000
La2 0.3334 0.3334 0.0000
Ce1 0.0000 0.0000 0.0000
P1 0.5000 0.5000 0.0000
P2 0.8377 0.8377 0.0000
P3 0.1623 0.1623 0.0000

D(E_F), states/eV/cell: 7.20

--- Q ---
VASP calculation (GGA-PBE) on crystalline La2CeP3 at its relaxed geometry.

abc: 4.2119 5.9635 7.3020
angles: 114.10 106.76 90.00
Last column: magnetic moment on the atom in μB.
Atoms (fractional coordinates):
La1 0.6672 0.1672 0.3344  0.01
La2 0.3328 0.8328 0.6656  0.01
Ce1 0.0000 0.5000 0.0000  0.52
P1 0.3410 0.3410 0.6820  -0.01
P2 0.0000 0.0000 0.0000  -0.01
P3 0.6590 0.6590 0.3180  -0.01

D(E_F), states/eV/cell: 5.57

Relative to the most stable structure, the computed energies are P 12; Q 0, all in meV per atom.

--- P ---
VASP calculation (GGA-PBE) on crystalline LaCe2P at its relaxed geometry.

abc: 3.8563 3.8563 9.6383
angles: 78.46 78.46 60.00
Last column: magnetic moment on the atom in μB.
Atoms (fractional coordinates):
La1 0.5007 0.5007 0.4978  0.02
Ce1 0.0604 0.0604 0.8187  0.75
Ce2 0.2724 0.2724 0.1829  -0.59
P1 0.6664 0.6664 0.0007  0.00

D(E_F), states/eV/cell: 9.36

--- Q ---
VASP calculation (GGA-PBE) on crystalline LaCe2P at its relaxed geometry.

abc: 3.7882 3.7882 10.0638
angles: 79.15 79.15 60.00
Last column: magnetic moment on the atom in μB.
Atoms (fractional coordinates):
P1 0.5000 0.5000 0.5000  -0.02
Ce1 0.1088 0.1088 0.6735  0.71
Ce2 0.8912 0.8912 0.3265  0.71
La1 0.0000 0.0000 0.0000  0.13

D(E_F), states/eV/cell: 9.30

Relative to the most stable structure, the computed energies are P 0; Q 121, all in meV per atom.